No. 1
PaInTcRu: relaxed, GGA-PBE.

Computed properties:
Energy relative to the elements, eV per atom: -0.327
Density of states at the Fermi level, states/eV/cell: 2.88
Space group: Pmmm, No. 47
Total energy, eV per atom: -8.2959

a = 3.5765 Å, b = 4.5275 Å, c = 4.5376 Å
α = 90.00°, β = 90.00°, γ = 90.00°
Closest atoms and distances in Å follow each position.
Fractional coordinates of all 4 atoms:
Pa: 0.0000 0.0000 0.0000  4 Tc 2.88, 4 Ru 2.89, 4 In 3.20
In: 0.0000 0.5000 0.5000  4 Ru 2.88, 4 Tc 2.89, 4 Pa 3.20
Tc: 0.5000 0.5000 0.0000  4 Pa 2.88, 4 In 2.89, 4 Ru 3.20
Ru: 0.5000 0.0000 0.5000  4 In 2.88, 4 Pa 2.89, 4 Tc 3.20


No. 2
CaGa2NiPd: relaxed, GGA-PBE.

Computed properties:
Energy relative to the elements, eV per atom: -0.554
Density of states at the Fermi level, states/eV/cell: 2.65
Space group: I-4m2, No. 119
Total energy, eV per atom: -4.3602

a = 6.0885 Å, b = 6.0885 Å, c = 6.0885 Å
α = 140.38°, β = 140.38°, γ = 57.28°
Closest atoms and distances in Å follow each position.
Fractional coordinates of all 5 atoms:
Ca: 0.0000 0.0000 0.0000  8 Ga 3.20, 4 Ni 3.38, 4 Pd 3.38
Ga: 0.3776 0.3776 0.0000  2 Ni 2.47, 2 Pd 2.47, 1 Ga 2.62
Ga: 0.6224 0.6224 0.0000  2 Ni 2.47, 2 Pd 2.47, 1 Ga 2.62
Ni: 0.2500 0.7500 0.5000  4 Ga 2.47
Pd: 0.7500 0.2500 0.5000  4 Ga 2.47


Look up the total energy of the second one. -4.3602 eV per atom


energy relative to the elements of number 2 (CaGa2NiPd)? -0.554 eV per atom


Among the records above, which one has the lowest energy relative to the elements? CaGa2NiPd


Number 1 is which compound? PaInTcRu